First-principles (GGA-PBE) data for crystalline ScTeOs2 at its relaxed geometry, as listed in Alexandria.

Geometry as extended XYZ:
```
8
Lattice="-4.6123 -5.2861 -3.0394 3.1670 1.1799 -6.8580 1.0911 -3.9315 -4.4343" Properties=species:S:1:pos:R:3 pbc="T T T"
Sc -0.7227 -2.0531 -4.9487
Sc 1.7678 -2.4023 -8.1205
Te 0.0000 0.0000 0.0000
Te -2.1219 -5.6353 -6.2112
Os -2.2494 -4.1797 -3.8887
Os 1.7110 -0.8657 -5.7515
Os 0.2521 -4.4975 -6.9847
Os -0.4220 -6.5325 -12.0385
```

Computed properties:
* uncorrected formation energy: 67.5 kJ/mol of atoms
* calculated volume: 19.45 A^3/atom
* total moment: 0.00 μB/f.u.
* calculated total energy: -58.27 eV for the cell shown
* crystal system: tetragonal